A plane-wave DFT calculation with GGA-PBE was carried out for crystalline Y2Br2O at its relaxed geometry.

Output
offset from the most stable computed form = 0 meV/atom
SG = C2/m
energy = -6.464 eV per atom
energy relative to the elements, uncorrected = -2.22 eV per atom

Cell and atoms, written as CIF:
```
data_Y2Br2O
_chemical_formula_sum 'Y4 Br4 O2'
_cell_length_a 10.810
_cell_length_b 10.810
_cell_length_c 6.822
_cell_angle_alpha 95.45
_cell_angle_beta 95.45
_cell_angle_gamma 20.72
_space_group_name_H-M_alt 'P 1'
_space_group_IT_number 1
loop_
_space_group_symop_operation_xyz
'x,y,z'
loop_
_atom_site_label
_atom_site_type_symbol
_atom_site_fract_x
_atom_site_fract_y
_atom_site_fract_z
_atom_site_occupancy
Y1 Y 0.182 0.182 0.382 1
Y2 Y 0.316 0.316 0.091 1
Y3 Y 0.684 0.684 0.909 1
Y4 Y 0.818 0.818 0.618 1
Br1 Br 0.097 0.097 0.694 1
Br2 Br 0.410 0.410 0.798 1
Br3 Br 0.590 0.590 0.202 1
Br4 Br 0.903 0.903 0.306 1
O1 O 0.209 0.209 0.074 1
O2 O 0.791 0.791 0.926 1
```


A plane-wave DFT calculation with GGA-PBE was carried out for crystalline B2Ir2Pt at its relaxed geometry.

Output
offset from the most stable computed form = 0 meV/atom
SG = I4/mmm
energy = -7.610 eV per atom
calculated formation energy = -186 meV/atom

Cell and atoms, written as CIF:
```
data_B2Ir2Pt
_chemical_formula_sum 'B2 Ir2 Pt1'
_cell_length_a 7.529
_cell_length_b 7.529
_cell_length_c 7.529
_cell_angle_alpha 158.08
_cell_angle_beta 158.08
_cell_angle_gamma 31.20
_space_group_name_H-M_alt 'P 1'
_space_group_IT_number 1
loop_
_space_group_symop_operation_xyz
'x,y,z'
loop_
_atom_site_label
_atom_site_type_symbol
_atom_site_fract_x
_atom_site_fract_y
_atom_site_fract_z
_atom_site_occupancy
B1 B 0.250 0.750 0.500 1
B2 B 0.750 0.250 0.500 1
Ir1 Ir 0.141 0.141 0.000 1
Ir2 Ir 0.859 0.859 0.000 1
Pt1 Pt 0.500 0.500 0.000 1
```


A plane-wave DFT calculation with GGA-PBE was carried out for crystalline Tb7PrEr3 at its relaxed geometry.

Output
offset from the most stable computed form = 58 meV/atom
SG = P3m1
energy = -4.429 eV per atom
calculated formation energy = 196 meV/atom

Cell and atoms, written as CIF:
```
data_Tb7PrEr3
_chemical_formula_sum 'Tb7 Pr1 Er3'
_cell_length_a 7.075
_cell_length_b 7.075
_cell_length_c 8.595
_cell_angle_alpha 90.00
_cell_angle_beta 90.00
_cell_angle_gamma 120.00
_space_group_name_H-M_alt 'P 1'
_space_group_IT_number 1
loop_
_space_group_symop_operation_xyz
'x,y,z'
loop_
_atom_site_label
_atom_site_type_symbol
_atom_site_fract_x
_atom_site_fract_y
_atom_site_fract_z
_atom_site_occupancy
Tb1 Tb 0.000 0.000 0.000 1
Tb2 Tb 0.165 0.331 0.669 1
Tb3 Tb 0.165 0.835 0.669 1
Tb4 Tb 0.501 0.002 0.006 1
Tb5 Tb 0.501 0.499 0.006 1
Tb6 Tb 0.669 0.835 0.669 1
Tb7 Tb 0.998 0.499 0.006 1
Pr1 Pr 0.667 0.333 0.676 1
Er1 Er 0.332 0.166 0.336 1
Er2 Er 0.834 0.166 0.336 1
Er3 Er 0.834 0.668 0.336 1
```


A plane-wave DFT calculation with GGA-PBE was carried out for crystalline AlRu3 at its relaxed geometry.

Output
SG = Cmmm
energy = -7.995 eV per atom
calculated formation energy = -102 meV/atom

Cell and atoms, written as CIF:
```
data_AlRu3
_chemical_formula_sum 'Al1 Ru3'
_cell_length_a 4.642
_cell_length_b 4.642
_cell_length_c 2.743
_cell_angle_alpha 90.00
_cell_angle_beta 90.00
_cell_angle_gamma 108.67
_space_group_name_H-M_alt 'P 1'
_space_group_IT_number 1
loop_
_space_group_symop_operation_xyz
'x,y,z'
loop_
_atom_site_label
_atom_site_type_symbol
_atom_site_fract_x
_atom_site_fract_y
_atom_site_fract_z
_atom_site_occupancy
Al1 Al 0.000 0.000 0.000 1
Ru1 Ru 0.000 0.500 0.500 1
Ru2 Ru 0.500 0.000 0.500 1
Ru3 Ru 0.500 0.500 0.000 1
```


A plane-wave DFT calculation with GGA-PBE was carried out for crystalline RbAl3Os at its relaxed geometry.

Output
offset from the most stable computed form = 2912 meV/atom
SG = Pm-3m
energy = -1.914 eV per atom
calculated formation energy = 2771 meV/atom

Cell and atoms, written as CIF:
```
data_RbAl3Os
_chemical_formula_sum 'Rb1 Al3 Os1'
_cell_length_a 5.385
_cell_length_b 5.385
_cell_length_c 5.385
_cell_angle_alpha 90.00
_cell_angle_beta 90.00
_cell_angle_gamma 90.00
_space_group_name_H-M_alt 'P 1'
_space_group_IT_number 1
loop_
_space_group_symop_operation_xyz
'x,y,z'
loop_
_atom_site_label
_atom_site_type_symbol
_atom_site_fract_x
_atom_site_fract_y
_atom_site_fract_z
_atom_site_occupancy
Rb1 Rb 0.000 0.000 0.000 1
Al1 Al 0.000 0.000 0.500 1
Al2 Al 0.000 0.500 0.000 1
Al3 Al 0.500 0.000 0.000 1
Os1 Os 0.500 0.500 0.500 1
```


A plane-wave DFT calculation with GGA-PBE was carried out for crystalline La2YMn at its relaxed geometry.

Output
offset from the most stable computed form = 41 meV/atom
SG = Immm
energy = -6.177 eV per atom
calculated formation energy = 196 meV/atom

Cell and atoms, written as CIF:
```
data_La2YMn
_chemical_formula_sum 'La2 Y1 Mn1'
_cell_length_a 6.518
_cell_length_b 6.518
_cell_length_c 6.518
_cell_angle_alpha 146.62
_cell_angle_beta 129.50
_cell_angle_gamma 61.89
_space_group_name_H-M_alt 'P 1'
_space_group_IT_number 1
loop_
_space_group_symop_operation_xyz
'x,y,z'
loop_
_atom_site_label
_atom_site_type_symbol
_atom_site_fract_x
_atom_site_fract_y
_atom_site_fract_z
_atom_site_occupancy
La1 La 0.203 0.203 0.000 1
La2 La 0.797 0.797 0.000 1
Y1 Y 0.500 0.000 0.500 1
Mn1 Mn 0.000 0.500 0.500 1
```